{"formula": "Dy2BTe", "functional": "GGA-PBE", "state": "relaxed", "dos_ef_per_ev_cell": 3.8, "e_tot_ev_per_atom": -5.418, "vol_a3_per_atom": 23.94, "e_form_raw_ev_per_atom": -0.66, "lattice": [[1.9577, 1.1303, 7.2127], [-1.9577, 1.1303, 7.2127], [0.0000, -2.2606, 7.2127]], "species": ["Dy", "Dy", "B", "Te"], "frac_coords": [[0.2344, 0.2344, 0.2344], [0.7656, 0.7656, 0.7656], [0.5000, 0.5000, 0.5000], [0.0000, 0.0000, 0.0000]]}